Material: Hf2Co2O
Method: DFT, GGA+U
State: relaxed

Cell: 3.0531 3.0531 18.8413 Å, 90.00 90.00 120.00°
Closest atoms and distances in Å follow each position.
Space group P6_3/mmc (No. 194)
Symmetry-distinct sites (fractional):
Hf1 0.3333 0.6667 0.0779 x4  3 O 2.29
Co1 0.3333 0.6667 0.6875 x4  1 Co 2.35
O1 0.0000 0.0000 0.0000 x2  6 Hf 2.29

The spin magnetization comes out at 8.1 μB per cell. The value obtained for the total energy is -7.511 eV per atom.